Entry 1:
The following is a PBE-GGA calculation of a relaxed YThZn4 crystal, from the Alexandria database.

Summary:
Symmetry: F-43m (216)
DOS(E_F) (states/eV/atom): 0.7242
Calculated formation energy (eV/atom): -0.278
Polymorph energy (0 for the lowest one) (eV per atom): 0.0000

a b c (Å): 5.525 5.525 5.525
angles (deg): 60.00 60.00 60.00
Atoms (fractional coordinates):
1 Y 0.000 0.000 0.000
2 Th 0.750 0.750 0.750
3 Zn 0.374 0.374 0.374
4 Zn 0.374 0.374 0.878
5 Zn 0.374 0.878 0.374
6 Zn 0.878 0.374 0.374

***

Entry 2:
The following is a PBE-GGA calculation of a relaxed YThZr crystal, from the Alexandria database.

Summary:
Symmetry: P3m1 (156)
DOS(E_F) (states/eV/atom): 1.1000
Calculated formation energy (eV/atom): 0.108
Polymorph energy (0 for the lowest one) (eV per atom): 0.0098

a b c (Å): 3.467 3.467 8.287
angles (deg): 90.00 90.00 120.00
Atoms (fractional coordinates):
1 Y 0.000 0.000 0.000
2 Th 0.667 0.333 0.351
3 Zr 0.333 0.667 0.668

***

Entry 3:
The following is a PBE-GGA calculation of a relaxed Y2ThZr crystal, from the Alexandria database.

Summary:
Symmetry: R-3m (166)
DOS(E_F) (states/eV/atom): 1.2069
Calculated formation energy (eV/atom): 0.315
Polymorph energy (0 for the lowest one) (eV per atom): 0.2375

a b c (Å): 12.126 12.126 12.126
angles (deg): 16.15 16.15 16.15
Atoms (fractional coordinates):
1 Y 0.087 0.087 0.087
2 Y 0.913 0.913 0.913
3 Th 0.500 0.500 0.500
4 Zr 0.000 0.000 0.000

***

Entry 4:
The following is a PBE-GGA calculation of a relaxed YThZr2 crystal, from the Alexandria database.

Summary:
Symmetry: P4/mmm (123)
DOS(E_F) (states/eV/atom): 1.2119
Calculated formation energy (eV/atom): 0.111
Polymorph energy (0 for the lowest one) (eV per atom): 0.0010

a b c (Å): 4.800 4.800 4.706
angles (deg): 90.00 90.00 90.00
Atoms (fractional coordinates):
1 Y 0.000 0.000 0.000
2 Th 0.500 0.500 0.000
3 Zr 0.000 0.500 0.500
4 Zr 0.500 0.000 0.500